[1]
A plane-wave DFT calculation with PBEsol was carried out for a relaxed structure of LaFePt2.

Cell lengths 5.5468, 5.5468, 5.5468 Å; angles 45.71, 45.71, 45.71 degrees
Fractional coordinates of all 4 atoms:
La 0.0000 0.0000 0.0000
Fe 0.1889 0.1889 0.1889
Pt 0.5279 0.5279 0.5279
Pt 0.7958 0.7958 0.7958

## Properties
* formation energy from the elements: -0.48 eV per atom
* Fermi-level density of states: 3.13 states/eV per cell
* space-group type: R3m, No. 160
* energy above the lowest structure with this stoichiometry: 97 meV per atom


[2]
A plane-wave DFT calculation with PBEsol was carried out for a relaxed structure of MgCoSi2O6.

Cell lengths 6.4564, 6.4564, 4.9217 Å; angles 98.39, 98.39, 85.68 degrees
Fractional coordinates of all 20 atoms:
Mg 0.2273 0.7727 0.7500
Mg 0.7727 0.2273 0.2500
Co 0.4169 0.5831 0.2500
Co 0.5831 0.4169 0.7500
Si 0.1055 0.2922 0.7917
Si 0.2922 0.1055 0.2917
Si 0.7078 0.8945 0.7083
Si 0.8945 0.7078 0.2083
O 0.0849 0.2039 0.0906
O 0.1186 0.6424 0.3662
O 0.2039 0.0849 0.5906
O 0.2787 0.4715 0.8594
O 0.3576 0.8814 0.1338
O 0.4715 0.2787 0.3594
O 0.5285 0.7213 0.6406
O 0.6424 0.1186 0.8662
O 0.7213 0.5285 0.1406
O 0.7961 0.9151 0.4094
O 0.8814 0.3576 0.6338
O 0.9151 0.7961 0.9094

## Properties
* Fermi-level density of states: 7.05 states/eV per cell
* space-group type: C2/c, No. 15
* E_form (uncorrected): -2.35 eV/atom